Computed, not measured: a geometry-optimized InBiW3 structure at the PBE level of DFT.

Geometry as POSCAR:
```
InBiW3
1.0
-4.0834 -1.4109 -2.4192
1.2673 -4.7451 0.6284
-2.4975 -0.1010 4.2743
W In Bi
3 1 1
Direct
0.0000 0.0000 0.5000
0.0000 0.5000 0.0000
0.5000 0.0000 0.0000
0.0000 0.0000 0.0000
0.5000 0.5000 0.5000
```

## Properties
E_form, meV/atom: 2731

=====

Computed, not measured: a geometry-optimized MoAuBr2 structure at the PBE level of DFT.

Geometry as POSCAR:
```
MoAuBr2
1.0
-2.9061 2.3633 -0.1002
-3.2896 -3.8290 5.0986
-0.2203 0.0331 7.1707
Br Au Mo
2 1 1
Direct
0.0000 0.1158 0.1158
0.0000 0.3842 0.3842
0.5000 0.7500 0.7500
0.5000 0.2500 0.2500
```

## Properties
Raw formation energy, meV per atom: 167

=====

For reference, energy above the most stable polymorph in this dataset by record: 0.0, 83.4 meV per atom.